A plane-wave DFT calculation with PBE+U was carried out for an optimized crystal structure of TlMoPO6.

SG: No. 70
size of the total moment: 0.0 μB/f.u.
total DFT energy (no corrections): -0.493 Ry per atom
density of states at the Fermi level: 0.00 states/eV/f.u.

a = 10.237 Å, b = 9.733 Å, c = 8.488 Å
α = 67.97°, β = 61.81°, γ = 50.22°
Fractional positions:
1 Tl 0.080 0.670 0.670
2 Tl 0.330 0.920 0.920
3 Tl 0.670 0.080 0.080
4 Tl 0.920 0.330 0.330
5 Mo 0.158 0.592 0.158
6 Mo 0.408 0.842 0.408
7 Mo 0.592 0.158 0.592
8 Mo 0.842 0.408 0.842
9 P 0.243 0.243 0.507
10 P 0.493 0.493 0.757
11 P 0.507 0.507 0.243
12 P 0.757 0.757 0.493
13 O 0.036 0.331 0.602
14 O 0.053 0.549 0.091
15 O 0.091 0.808 0.053
16 O 0.192 0.909 0.451
17 O 0.275 0.316 0.307
18 O 0.307 0.602 0.275
19 O 0.316 0.275 0.602
20 O 0.331 0.036 0.531
21 O 0.398 0.469 0.964
22 O 0.398 0.693 0.684
23 O 0.451 0.947 0.192
24 O 0.469 0.398 0.669
25 O 0.531 0.602 0.331
26 O 0.549 0.053 0.808
27 O 0.602 0.307 0.316
28 O 0.602 0.531 0.036
29 O 0.669 0.964 0.469
30 O 0.684 0.725 0.398
31 O 0.693 0.398 0.725
32 O 0.725 0.684 0.693
33 O 0.808 0.091 0.549
34 O 0.909 0.192 0.947
35 O 0.947 0.451 0.909
36 O 0.964 0.669 0.398